(1)
Computed, not measured: crystalline AgPPb4 at its relaxed geometry at the PBE-GGA level of DFT.

abc: 6.342 6.342 6.342
angles: 60.00 60.00 60.00
Fractional positions:
1 Ag 0.750 0.750 0.750
2 P 0.000 0.000 0.000
3 Pb 0.375 0.874 0.375
4 Pb 0.874 0.375 0.375
5 Pb 0.375 0.375 0.874
6 Pb 0.375 0.375 0.375

Density of states at the Fermi level (states/eV per atom): 0.594
DFT formation energy (meV per atom): 623
Calculated total energy (eV/atom): -3.226
Space group: F-43m, No. 216



(2)
Computed, not measured: crystalline La2Nd3P4 at its relaxed geometry at the PBE-GGA level of DFT.

abc: 4.173 7.217 9.393
angles: 75.00 77.16 73.19
Last column: magnetic moment on the atom in μB.
Fractional positions:
1 La 0.604 0.184 0.609  0.06
2 La 0.396 0.816 0.391  0.06
3 Nd 0.000 0.000 0.000  0.01
4 Nd 0.207 0.401 0.186  0.03
5 Nd 0.793 0.599 0.814  0.03
6 P 0.798 0.103 0.301  0.00
7 P 0.202 0.897 0.699  0.00
8 P 0.400 0.302 0.898  0.00
9 P 0.600 0.698 0.102  0.00

Density of states at the Fermi level (states/eV per atom): 0.508
DFT formation energy (meV per atom): -1388
Calculated total energy (eV/atom): -6.477
Space group: C2/m, No. 12